Computed, not measured: a geometry-optimized SmMg3Rh structure at the GGA-PBE level of DFT.

Structure (extended XYZ):
```
5
Lattice="-2.212 -1.940 -3.965 3.801 -3.093 -0.608 -2.245 -3.325 2.879" Properties=species:S:1:pos:R:3 pbc="T T T"
Mg -1.122 -1.662 1.439
Mg 1.900 -1.546 -0.304
Mg -1.106 -0.970 -1.983
Sm -0.328 -4.179 -0.847
Rh 0.000 0.000 0.000
```

Formation enthalpy at 0 K   -156.5 meV per atom
Symmetry   No. 221
Fermi-level density of states   1.18 states/eV/atom



Computed, not measured: a geometry-optimized Ho5Rh2 structure at the GGA-PBE level of DFT.

Structure (extended XYZ):
```
14
Lattice="5.942 0.000 -2.308 -0.327 7.068 -0.843 -0.072 0.005 8.617" Properties=species:S:1:pos:R:3 pbc="T T T"
Rh 0.878 3.016 5.923
Rh 3.187 6.550 4.541
Rh 2.356 0.522 0.925
Rh 4.665 4.056 -0.457
Ho 3.333 1.767 -1.537
Ho 1.075 2.956 0.799
Ho 0.984 4.864 3.787
Ho 4.468 4.116 4.667
Ho 2.282 5.301 -1.614
Ho 3.549 5.742 1.587
Ho 4.558 2.208 1.679
Ho 1.994 1.330 3.880
Ho 5.525 6.490 -1.415
Ho 0.018 0.582 6.881
```

Formation enthalpy at 0 K   -612.3 meV per atom
Symmetry   No. 15
Fermi-level density of states   1.02 states/eV/atom



Computed, not measured: a geometry-optimized Pr5Si2Te2 structure at the GGA-PBE level of DFT.

Structure (extended XYZ):
```
18
Lattice="7.619 0.000 2.766 0.000 8.136 0.000 1.111 0.000 8.818" Properties=species:S:1:pos:R:3 pbc="T T T"
Si 0.887 3.125 0.322
Si 2.922 7.193 1.061
Si 6.732 5.011 2.444
Si 4.697 0.943 1.705
Te 6.505 0.000 5.835
Te 2.225 0.000 5.749
Te 2.695 4.068 4.452
Te 6.034 4.068 7.132
Pr 0.633 5.474 2.369
Pr 0.000 0.000 0.000
Pr 3.810 4.068 1.383
Pr 5.614 2.662 4.177
Pr 6.925 6.730 8.790
Pr 1.804 1.406 2.794
Pr 4.287 1.406 7.832
Pr 3.116 5.474 7.407
Pr 8.097 2.662 9.215
Pr 4.443 6.730 3.752
```

Symmetry   No. 64
Raw formation energy   -1.019 eV/atom
Fermi-level density of states   1.00 states/eV/atom



Computed, not measured: a geometry-optimized La2Pr4Sc3 structure at the GGA-PBE level of DFT.

Structure (extended XYZ):
```
9
Lattice="5.044 0.001 0.001 2.522 5.583 1.090 -0.001 1.556 10.552" Properties=species:S:1:pos:R:3 pbc="T T T"
Pr 5.044 1.106 6.996
Pr 2.521 2.019 1.554
Pr 2.521 6.034 4.648
Pr 5.044 5.120 10.090
Sc 0.000 0.000 0.000
Sc 5.044 4.625 6.560
Sc 2.521 2.514 5.084
La 2.521 3.078 8.495
La 5.044 4.062 3.149
```

Formation enthalpy at 0 K   62.2 meV per atom
Symmetry   No. 12
Fermi-level density of states   1.66 states/eV/atom



Computed, not measured: a geometry-optimized Cs5Te6P2 structure at the GGA-PBE level of DFT.

Structure (extended XYZ):
```
26
Lattice="-2.689 -3.608 2.554 7.838 -10.763 -6.954 11.010 0.276 11.982" Properties=species:S:1:pos:R:3 pbc="T T T"
Te 11.039 -5.917 3.262
Te 13.260 -8.874 1.423
Te 7.769 -10.356 -1.209
Te 5.588 -1.613 3.605
Te 3.686 -4.978 2.090
Te 12.505 -3.413 8.343
Te 12.473 -9.117 5.492
Te 8.390 -3.740 8.791
Te 10.417 -0.453 10.327
Te 8.431 -10.034 -5.299
Te 7.809 -4.570 1.766
Te 6.343 -7.074 -3.316
Cs 4.161 -1.666 7.268
Cs 6.647 -4.934 5.269
Cs 0.297 -3.912 0.027
Cs 9.512 -9.161 2.313
Cs 5.859 -7.655 0.595
Cs 15.862 -10.183 7.555
Cs 2.574 -7.186 -2.200
Cs 14.493 -11.815 3.809
Cs 10.300 -6.440 6.987
Cs 1.666 -2.280 3.773
P 8.420 -8.571 -3.244
P 13.121 -7.328 3.461
P 10.428 -1.916 8.272
P 5.727 -3.159 1.567
```

Symmetry   No. 55
Raw formation energy   -0.603 eV/atom
Fermi-level density of states   0.09 states/eV/atom



Computed, not measured: a geometry-optimized K2CeThO6 structure at the GGA-PBE level of DFT.

Structure (extended XYZ):
```
10
Lattice="-4.456 4.325 1.178 -1.221 0.427 -6.187 -5.889 -0.874 -2.124" Properties=species:S:1:pos:R:3 pbc="T T T"
O -4.377 0.735 -2.311
O -10.158 2.702 -5.892
O -7.189 3.143 -4.821
O -3.654 3.359 -0.646
O -7.911 0.519 -6.486
O -1.407 1.176 -1.241
Th -2.838 2.376 -2.504
Ce 0.000 0.000 0.000
K -6.592 2.914 -1.724
K -4.974 0.964 -5.408
```

Symmetry   No. 225
Raw formation energy   -2.462 eV/atom
Fermi-level density of states   0.89 states/eV/atom



Computed, not measured: a geometry-optimized ThMnGe2Ir structure at the GGA-PBE level of DFT.

Structure (extended XYZ):
```
5
Lattice="-2.813 -2.846 1.200 2.997 -2.122 1.992 -1.037 5.270 2.795" Properties=species:S:1:pos:R:3 pbc="T T T"
Th 0.000 0.000 0.000
Ir -1.879 -0.030 2.795
Ge -0.135 -1.816 2.649
Ge -0.719 2.117 3.337
Mn 1.026 0.332 3.191
```

Formation enthalpy at 0 K   -601.6 meV per atom
Symmetry   No. 119
Fermi-level density of states   0.97 states/eV/atom



Computed, not measured: a geometry-optimized LaCeZr2 structure at the GGA-PBE level of DFT.

Structure (extended XYZ):
```
4
Lattice="3.935 0.000 0.000 0.000 3.935 0.000 0.000 0.000 7.189" Properties=species:S:1:pos:R:3 pbc="T T T"
Ce 1.968 1.968 0.000
Zr 0.000 0.000 5.710
Zr 0.000 0.000 1.479
La 1.968 1.968 3.594
```

Formation enthalpy at 0 K   180.1 meV per atom
Symmetry   No. 123
Fermi-level density of states   1.48 states/eV/atom



Computed, not measured: a geometry-optimized HfCo2CuRh structure at the GGA-PBE level of DFT.

Structure (extended XYZ):
```
5
Lattice="-4.094 -1.868 0.433 1.235 -1.789 3.964 -1.536 3.883 2.231" Properties=species:S:1:pos:R:3 pbc="T T T"
Cu -2.198 0.114 3.314
Co 0.617 -0.894 1.982
Co -2.047 -0.934 0.216
Hf 0.000 0.000 0.000
Rh -0.768 1.942 1.115
```

Formation enthalpy at 0 K   1343.4 meV per atom
Symmetry   No. 123
Fermi-level density of states   0.84 states/eV/atom



Computed, not measured: a geometry-optimized SrPtW2 structure at the GGA-PBE level of DFT.

Structure (extended XYZ):
```
4
Lattice="0.000 3.306 3.306 3.306 0.000 3.306 3.306 3.306 0.000" Properties=species:S:1:pos:R:3 pbc="T T T"
Sr 0.000 0.000 0.000
W 1.653 1.653 1.653
W 4.959 4.959 4.959
Pt 3.306 3.306 3.306
```

Formation enthalpy at 0 K   1198.8 meV per atom
Symmetry   No. 225
Fermi-level density of states   0.93 states/eV/atom



Computed, not measured: a geometry-optimized Pm2Zn4Cd structure at the GGA-PBE level of DFT.

Structure (extended XYZ):
```
7
Lattice="4.590 0.000 1.434 2.071 4.096 1.434 -0.164 -0.101 8.589" Properties=species:S:1:pos:R:3 pbc="T T T"
Zn 4.145 2.549 2.860
Zn 2.352 1.446 8.597
Zn 0.753 0.463 5.654
Zn 5.744 3.532 5.803
Pm 4.871 2.995 8.598
Pm 1.626 1.000 2.859
Cd 0.000 0.000 0.000
```

Formation enthalpy at 0 K   -124.5 meV per atom
Symmetry   No. 166
Fermi-level density of states   0.46 states/eV/atom



Computed, not measured: a geometry-optimized TiCr2Bi structure at the GGA-PBE level of DFT.

Structure (extended XYZ):
```
4
Lattice="0.000 3.179 3.179 3.179 0.000 3.179 3.179 3.179 0.000" Properties=species:S:1:pos:R:3 pbc="T T T"
Ti 0.000 0.000 0.000
Bi 3.179 3.179 3.179
Cr 1.589 1.589 1.589
Cr 4.768 4.768 4.768
```

Formation enthalpy at 0 K   328.6 meV per atom
Symmetry   No. 225
Fermi-level density of states   0.28 states/eV/atom



Fermi-level density of states of number 3 (Pr5Si2Te2)?
1.00 states/eV/atom



What is the Fermi-level density of states in the third record?
1.00 states/eV/atom



Number 5 is which compound?
Cs5Te6P2



Fermi-level density of states of number 12 (TiCr2Bi)?
0.28 states/eV/atom